Record 1
YTh2ZnC: optimized geometry, GGA-PBE. Values from VASP.

```
&SYSTEM
  ibrav = 0, nat = 5, ntyp = 4
/
ATOMIC_SPECIES
Y 88.91 Y.upf
Th 232.04 Th.upf
Zn 65.41 Zn.upf
C 12.01 C.upf
CELL_PARAMETERS angstrom
5.044 0.000 0.000
0.000 5.044 0.000
0.000 0.000 4.900
ATOMIC_POSITIONS angstrom
Y 0.000 0.000 0.000
Th 0.000 2.522 2.450
Th 2.522 0.000 2.450
Zn 2.522 2.522 0.000
C 0.000 0.000 2.450
```

Summary:
DFT formation energy (eV per atom): -0.176
Density (g/cm³): 8.4
N(E_F) (states/eV per cell): 3.50
Total DFT energy (no corrections) (eV/atom): -6.54


Record 2
Th8ZnC4: optimized geometry, GGA-PBE. Values from VASP.

```
&SYSTEM
  ibrav = 0, nat = 13, ntyp = 3
/
ATOMIC_SPECIES
Th 232.04 Th.upf
Zn 65.41 Zn.upf
C 12.01 C.upf
CELL_PARAMETERS angstrom
0.000 5.522 5.522
5.522 0.000 5.522
5.522 5.522 0.000
ATOMIC_POSITIONS angstrom
Th 4.337 4.337 4.337
Th 6.708 6.708 4.337
Th 6.708 4.337 6.708
Th 9.529 7.037 7.037
Th 4.337 6.708 6.708
Th 7.037 9.529 7.037
Th 7.037 7.037 9.529
Th 9.529 9.529 9.529
Zn 2.761 2.761 2.761
C 6.949 4.095 4.095
C 4.095 6.949 4.095
C 4.095 4.095 6.949
C 6.949 6.949 6.949
```

Summary:
DFT formation energy (eV per atom): -0.010
Density (g/cm³): 9.7
N(E_F) (states/eV per cell): 12.19
Total DFT energy (no corrections) (eV/atom): -7.51


Record 3
Th4Zn2C: optimized geometry, GGA-PBE. Values from VASP.

```
&SYSTEM
  ibrav = 0, nat = 7, ntyp = 3
/
ATOMIC_SPECIES
Th 232.04 Th.upf
Zn 65.41 Zn.upf
C 12.01 C.upf
CELL_PARAMETERS angstrom
-2.424 2.424 7.986
2.424 -2.424 7.986
2.424 2.424 -7.986
ATOMIC_POSITIONS angstrom
Th 2.424 0.000 0.000
Th 0.000 0.000 2.948
Th 0.000 2.424 0.000
Th 0.000 0.000 13.023
Zn 0.000 0.000 5.853
Zn 0.000 0.000 10.119
C 0.000 0.000 7.986
```

Summary:
DFT formation energy (eV per atom): 0.140
Density (g/cm³): 9.5
N(E_F) (states/eV per cell): 9.36
Total DFT energy (no corrections) (eV/atom): -5.78


Record 4
Th3ZnC: optimized geometry, GGA-PBE. Values from VASP.

```
&SYSTEM
  ibrav = 0, nat = 10, ntyp = 3
/
ATOMIC_SPECIES
Th 232.04 Th.upf
Zn 65.41 Zn.upf
C 12.01 C.upf
CELL_PARAMETERS angstrom
3.477 -7.251 0.000
3.477 7.251 0.000
0.000 0.000 5.038
ATOMIC_POSITIONS angstrom
Th 1.738 3.626 2.519
Th 3.477 5.350 0.000
Th 1.776 0.000 2.519
Th 1.738 -3.626 2.519
Th 5.178 0.000 2.519
Th 3.477 -5.350 0.000
Zn 3.477 1.970 0.000
Zn 3.477 -1.970 0.000
C 3.477 5.527 2.519
C 3.477 -5.527 2.519
```

Summary:
DFT formation energy (eV per atom): -0.135
Density (g/cm³): 10.1
N(E_F) (states/eV per cell): 8.05
Total DFT energy (no corrections) (eV/atom): -6.69


Record 5
Th3Zn2C: optimized geometry, GGA-PBE. Values from VASP.

```
&SYSTEM
  ibrav = 0, nat = 6, ntyp = 3
/
ATOMIC_SPECIES
Th 232.04 Th.upf
Zn 65.41 Zn.upf
C 12.01 C.upf
CELL_PARAMETERS angstrom
2.508 -7.703 0.000
2.508 7.703 0.000
0.000 0.000 3.669
ATOMIC_POSITIONS angstrom
Th 0.000 0.000 0.000
Th 2.508 1.821 1.834
Th 2.508 -1.821 1.834
Zn 2.508 4.599 0.000
Zn 2.508 -4.599 0.000
C 2.508 0.000 0.000
```

Summary:
DFT formation energy (eV per atom): -0.204
Density (g/cm³): 9.8
N(E_F) (states/eV per cell): 5.69
Total DFT energy (no corrections) (eV/atom): -5.88


Record 6
Th3ZnC: optimized geometry, GGA-PBE. Values from VASP.

```
&SYSTEM
  ibrav = 0, nat = 5, ntyp = 3
/
ATOMIC_SPECIES
Th 232.04 Th.upf
Zn 65.41 Zn.upf
C 12.01 C.upf
CELL_PARAMETERS angstrom
5.039 0.000 0.000
0.000 5.039 0.000
0.000 0.000 5.039
ATOMIC_POSITIONS angstrom
Th 0.000 0.000 2.520
Th 0.000 2.520 0.000
Th 2.520 0.000 0.000
Zn 2.520 2.520 2.520
C 0.000 0.000 0.000
```

Summary:
DFT formation energy (eV per atom): -0.144
Density (g/cm³): 10.0
N(E_F) (states/eV per cell): 2.08
Total DFT energy (no corrections) (eV/atom): -6.69


> DFT formation energy of number 5 (Th3Zn2C)?

-0.204 eV per atom